# 1
Crystalline TmUAs at its relaxed geometry, computed with PBE.

Geometry as POSCAR:
```
TmUAs
1.0
3.3687 1.3093 3.1797
-0.2308 -1.5830 4.5402
3.1961 -3.2305 1.5880
Tm As U
1 1 1
direct
0.2500 0.2500 0.2500
0.0000 0.0000 0.0000
0.7500 0.7500 0.7500
```

Calculated values
Its spin magnetization is 3.927 Bohr magnetons per cell. For the energy relative to the lowest polymorph listed for this composition, the calculation gives 0 meV per atom.


# 2
Crystalline TmAsW at its relaxed geometry, computed with PBE.

Geometry as POSCAR:
```
TmAsW
1.0
3.9155 -2.5631 -0.1344
1.4037 -2.3313 3.8097
-0.2565 -4.6734 0.1114
W As Tm
1 1 1
direct
0.7500 0.7500 0.7500
0.2500 0.2500 0.2500
0.0000 0.0000 0.0000
```

Calculated values
Its spin magnetization is 2.612 Bohr magnetons per cell. For the energy relative to the lowest polymorph listed for this composition, the calculation gives 993 meV per atom.


# 3
Crystalline TmAsW at its relaxed geometry, computed with PBE.

Geometry as POSCAR:
```
TmAsW
1.0
2.3612 -3.6928 0.7549
2.9030 -0.1339 3.3669
-0.8595 -2.4962 3.5794
W As Tm
1 1 1
direct
0.7500 0.7500 0.7500
0.0000 0.0000 0.0000
0.2500 0.2500 0.2500
```

Calculated values
Its spin magnetization is 0.006 Bohr magnetons per cell. For the energy relative to the lowest polymorph listed for this composition, the calculation gives 0 meV per atom.


# 4
Crystalline Y2TmAs3 at its relaxed geometry, computed with PBE.

Geometry as POSCAR:
```
Y2TmAs3
1.0
-2.2285 -2.8115 1.9852
0.0472 0.0578 -4.0995
7.8685 -6.2350 0.0027
Y As Tm
2 3 1
direct
0.6667 0.3333 0.1682
0.3333 0.6667 0.8318
0.6667 0.3333 0.6630
0.3333 0.6667 0.3370
0.0000 0.0000 0.0000
0.0000 0.0000 0.5000
```

Calculated values
Its spin magnetization is 0.001 Bohr magnetons per cell. The value obtained for the energy is -6.764 eV per atom.